PmErCd3 (PBE-GGA, relaxed); space-group type = P-1 (2); energy relative to the elements = -0.23 eV per atom; crystal system = triclinic; N(E_F) = 4.79 states/eV/f.u.; energy relative to the lowest polymorph listed for this composition = 1.71 kcal/mol of atoms; electronic total energy = -2.640 eV/atom
1.0
-1.0297 8.0201 1.9868
-8.9753 -1.0550 -0.3444
-5.0380 -2.2580 6.5149
Cd Er Pm
12 4 4
direct
0.0708 0.6975 0.6067
0.9292 0.3025 0.3933
0.0810 0.0074 0.7547
0.5701 0.3034 0.3935
0.4286 0.2923 0.8853
0.4299 0.6966 0.6065
0.9293 0.7071 0.1148
0.9190 0.9926 0.2453
0.4189 0.0084 0.7549
0.0707 0.2929 0.8852
0.5811 0.9916 0.2451
0.5714 0.7077 0.1147
0.2499 0.8900 0.1502
0.7509 0.5817 0.5064
0.2491 0.4183 0.4936
0.7501 0.1100 0.8498
0.7498 0.8939 0.6460
0.7494 0.4138 0.0009
0.2502 0.1061 0.3540
0.2506 0.5862 0.9991